--- w ---
Compound: YCd3Rh
Source: Alexandria via LeMat-Bulk
Functional: GGA-PBE
Structure: optimized geometry

a = 5.084 Å, b = 5.084 Å, c = 5.084 Å
α = 90.00°, β = 90.00°, γ = 90.00°
Element x y z (fractional)
Y  0.000  0.000  0.000
Cd  0.000  0.500  0.500
Cd  0.500  0.000  0.500
Cd  0.500  0.500  0.000
Rh  0.500  0.500  0.500

Output
SG   Pm-3m (221)
Total moment   0.0 μB/cell

--- x ---
Compound: YCd3Rh
Source: Alexandria via LeMat-Bulk
Functional: GGA-PBE
Structure: optimized geometry

a = 9.387 Å, b = 4.061 Å, c = 11.870 Å
α = 90.00°, β = 90.00°, γ = 90.00°
Element x y z (fractional)
Y  0.194  0.250  0.012
Y  0.306  0.750  0.512
Y  0.694  0.250  0.488
Y  0.806  0.750  0.988
Cd  0.042  0.250  0.413
Cd  0.060  0.750  0.212
Cd  0.181  0.750  0.792
Cd  0.319  0.250  0.292
Cd  0.440  0.250  0.712
Cd  0.458  0.750  0.913
Cd  0.542  0.250  0.087
Cd  0.560  0.750  0.288
Cd  0.681  0.750  0.708
Cd  0.819  0.250  0.208
Cd  0.940  0.250  0.788
Cd  0.958  0.750  0.587
Rh  0.168  0.250  0.629
Rh  0.332  0.750  0.129
Rh  0.668  0.250  0.871
Rh  0.832  0.750  0.371

Output
SG   Pnma (62)
Total moment   0.0 μB/cell

It is x that is the most stable of them.

--- w ---
Compound: YCdRh3
Source: Alexandria via LeMat-Bulk
Functional: GGA-PBE
Structure: optimized geometry

a = 4.849 Å, b = 4.849 Å, c = 4.849 Å
α = 90.00°, β = 90.00°, γ = 90.00°
Element x y z (fractional)
Y  0.000  0.000  0.000
Cd  0.500  0.500  0.500
Rh  0.000  0.500  0.500
Rh  0.500  0.000  0.500
Rh  0.500  0.500  0.000

Output
SG   Pm-3m (221)
Total moment   1.3 μB/cell

--- x ---
Compound: YCdRh3
Source: Alexandria via LeMat-Bulk
Functional: GGA-PBE
Structure: optimized geometry

a = 4.908 Å, b = 4.908 Å, c = 4.908 Å
α = 90.00°, β = 90.00°, γ = 90.00°
Element x y z (fractional)
Y  0.000  0.000  0.000
Cd  0.500  0.500  0.500
Rh  0.000  0.000  0.500
Rh  0.000  0.500  0.000
Rh  0.500  0.000  0.000

Output
SG   Pm-3m (221)
Total moment   0.7 μB/cell

It is w that is the most stable of them.

--- w ---
Compound: YCd4Rh
Source: Alexandria via LeMat-Bulk
Functional: GGA-PBE
Structure: optimized geometry

a = 7.355 Å, b = 7.355 Å, c = 7.181 Å
α = 107.85°, β = 107.85°, γ = 46.46°
Element x y z (fractional)
Y  0.190  0.190  0.362
Y  0.810  0.810  0.638
Cd  0.159  0.658  0.317
Cd  0.249  0.751  0.000
Cd  0.284  0.284  0.915
Cd  0.342  0.841  0.683
Cd  0.658  0.159  0.317
Cd  0.716  0.716  0.085
Cd  0.751  0.249  0.000
Cd  0.841  0.342  0.683
Rh  0.391  0.391  0.641
Rh  0.609  0.609  0.359

Output
SG   C2/m (12)
Total moment   0.0 μB/cell

--- x ---
Compound: YCd4Rh
Source: Alexandria via LeMat-Bulk
Functional: GGA-PBE
Structure: optimized geometry

a = 5.616 Å, b = 5.616 Å, c = 5.616 Å
α = 60.00°, β = 60.00°, γ = 60.00°
Element x y z (fractional)
Y  0.000  0.000  0.000
Cd  0.127  0.624  0.624
Cd  0.624  0.127  0.624
Cd  0.624  0.624  0.127
Cd  0.624  0.624  0.624
Rh  0.250  0.250  0.250

Output
SG   F-43m (216)
Total moment   0.0 μB/cell

It is w that is the most stable of them.

--- w ---
Compound: YCd2Rh2
Source: Alexandria via LeMat-Bulk
Functional: GGA-PBE
Structure: optimized geometry

a = 7.552 Å, b = 7.552 Å, c = 3.410 Å
α = 90.00°, β = 90.00°, γ = 90.00°
Element x y z (fractional)
Y  0.000  0.000  0.000
Y  0.500  0.500  0.000
Cd  0.150  0.350  0.500
Cd  0.350  0.850  0.500
Cd  0.650  0.150  0.500
Cd  0.850  0.650  0.500
Rh  0.146  0.646  0.000
Rh  0.354  0.146  0.000
Rh  0.646  0.854  0.000
Rh  0.854  0.354  0.000

Output
SG   P4/mbm (127)
Total moment   0.0 μB/cell

--- x ---
Compound: YCd2Rh2
Source: Alexandria via LeMat-Bulk
Functional: GGA-PBE
Structure: optimized geometry

a = 7.764 Å, b = 7.764 Å, c = 3.202 Å
α = 90.00°, β = 90.00°, γ = 90.00°
Element x y z (fractional)
Y  0.000  0.000  0.000
Y  0.500  0.500  0.000
Cd  0.125  0.375  0.000
Cd  0.375  0.875  0.000
Cd  0.625  0.125  0.000
Cd  0.875  0.625  0.000
Rh  0.174  0.674  0.500
Rh  0.326  0.174  0.500
Rh  0.674  0.826  0.500
Rh  0.826  0.326  0.500

Output
SG   P4/mbm (127)
Total moment   0.0 μB/cell

--- y ---
Compound: YCd2Rh2
Source: Alexandria via LeMat-Bulk
Functional: GGA-PBE
Structure: optimized geometry

a = 6.830 Å, b = 6.830 Å, c = 6.830 Å
α = 145.09°, β = 145.09°, γ = 50.21°
Element x y z (fractional)
Y  0.000  0.000  0.000
Cd  0.250  0.750  0.500
Cd  0.750  0.250  0.500
Rh  0.400  0.400  0.000
Rh  0.600  0.600  0.000

Output
SG   I4/mmm (139)
Total moment   0.0 μB/cell

It is w that is the most stable of them.

--- w ---
Compound: ZnCd3Rh
Source: Alexandria via LeMat-Bulk
Functional: GGA-PBE
Structure: optimized geometry

a = 4.864 Å, b = 4.864 Å, c = 4.864 Å
α = 90.00°, β = 90.00°, γ = 90.00°
Element x y z (fractional)
Zn  0.000  0.000  0.000
Cd  0.000  0.000  0.500
Cd  0.000  0.500  0.000
Cd  0.500  0.000  0.000
Rh  0.500  0.500  0.500

Output
SG   Pm-3m (221)
Total moment   0.0 μB/cell

--- x ---
Compound: ZnCd3Rh
Source: Alexandria via LeMat-Bulk
Functional: GGA-PBE
Structure: optimized geometry

a = 5.190 Å, b = 5.190 Å, c = 5.190 Å
α = 90.00°, β = 90.00°, γ = 90.00°
Element x y z (fractional)
Zn  0.000  0.000  0.000
Cd  0.000  0.500  0.500
Cd  0.500  0.000  0.500
Cd  0.500  0.500  0.000
Rh  0.500  0.500  0.500

Output
SG   Pm-3m (221)
Total moment   0.0 μB/cell

It is x that is the most stable of them.

--- w ---
Compound: ZrCd3Rh
Source: Alexandria via LeMat-Bulk
Functional: GGA-PBE
Structure: optimized geometry

a = 5.009 Å, b = 5.009 Å, c = 5.009 Å
α = 90.00°, β = 90.00°, γ = 90.00°
Element x y z (fractional)
Zr  0.000  0.000  0.000
Cd  0.000  0.500  0.500
Cd  0.500  0.000  0.500
Cd  0.500  0.500  0.000
Rh  0.500  0.500  0.500

Output
SG   Pm-3m (221)
Total moment   0.0 μB/cell

--- x ---
Compound: ZrCd3Rh
Source: Alexandria via LeMat-Bulk
Functional: GGA-PBE
Structure: optimized geometry

a = 5.444 Å, b = 5.444 Å, c = 5.444 Å
α = 90.00°, β = 90.00°, γ = 90.00°
Element x y z (fractional)
Zr  0.000  0.000  0.000
Cd  0.000  0.000  0.500
Cd  0.000  0.500  0.000
Cd  0.500  0.000  0.000
Rh  0.500  0.500  0.500

Output
SG   Pm-3m (221)
Total moment   0.0 μB/cell

It is w that is the most stable of them.